NiRuS2N: relaxed, PBE.

Lattice parameters (Å, degrees): 4.6058 4.6058 3.3143 90.00 90.00 90.00
Last column: nearest neighbours and their distance in Å.
Fractional positions:
Ni: 0.0000 0.0000 0.0000  2 N 1.66
Ru: 0.5000 0.5000 0.5000  8 S 2.84
S: 0.0000 0.5000 0.0000  2 Ni 2.30
S: 0.5000 0.0000 0.0000  2 Ni 2.30
N: 0.0000 0.0000 0.5000  2 Ni 1.66

Calculated values
Its polymorph energy (0 for the lowest one) is 0.158 eV/atom. The value obtained for the final energy is -5.398 eV/atom. For the total magnetic moment, the calculation gives 0.00 Bohr magnetons per cell. The crystal system is tetragonal. For the density of states at the Fermi level, the calculation gives 4.2 states/eV per cell.